First-principles (PBE-GGA) data for crystalline AcLa12Cd3 at its relaxed geometry, as listed in Alexandria via LeMat-Bulk.

Summary:
**ΔE_f**: -1.41 eV/f.u.
**V**: 33.97 Å³/atom

abc: 5.136 5.136 20.600
angles: 90.00 90.00 90.00
Element x y z (fractional)
Cd 0.000 0.000 0.500
Cd 0.000 0.000 0.743
Ac 0.000 0.000 0.000
La 0.500 0.500 0.500
La 0.500 0.000 0.622
La 0.500 0.500 0.000
La 0.500 0.000 0.378
La 0.000 0.500 0.133
La 0.000 0.500 0.867
La 0.000 0.500 0.378
La 0.500 0.000 0.867
La 0.500 0.000 0.133
La 0.500 0.500 0.256
La 0.000 0.500 0.622
La 0.500 0.500 0.744
Cd 0.000 0.000 0.257

***

First-principles (PBE-GGA) data for crystalline Ac3La2Cd3 at its relaxed geometry, as listed in Alexandria via LeMat-Bulk.

Summary:
**ΔE_f**: -1.81 eV/f.u.
**V**: 34.86 Å³/atom

abc: 4.037 5.817 12.392
angles: 103.57 99.38 90.00
Element x y z (fractional)
Cd 0.123 0.123 0.245
Cd 0.000 0.500 0.000
Ac 0.500 0.000 0.000
La 0.735 0.235 0.471
Ac 0.378 0.378 0.756
Ac 0.622 0.622 0.244
La 0.265 0.765 0.529
Cd 0.877 0.877 0.755

***

First-principles (PBE-GGA) data for crystalline Ac4La3Cd at its relaxed geometry, as listed in Alexandria via LeMat-Bulk.

Summary:
**ΔE_f**: -0.45 eV/f.u.
**V**: 39.51 Å³/atom

abc: 3.944 3.944 20.325
angles: 90.00 90.00 90.00
Element x y z (fractional)
Cd 0.500 0.500 0.000
Ac 0.000 0.000 0.631
Ac 0.000 0.000 0.369
La 0.500 0.500 0.238
La 0.500 0.500 0.500
Ac 0.000 0.000 0.895
La 0.500 0.500 0.762
Ac 0.000 0.000 0.105

***

First-principles (PBE-GGA) data for crystalline Ac3La4Cd at its relaxed geometry, as listed in Alexandria via LeMat-Bulk.

Summary:
**ΔE_f**: -0.60 eV/f.u.
**V**: 38.00 Å³/atom

abc: 3.886 3.886 20.133
angles: 90.00 90.00 90.00
Element x y z (fractional)
La 0.000 0.000 0.366
Ac 0.500 0.500 0.500
La 0.000 0.000 0.634
La 0.000 0.000 0.100
Ac 0.500 0.500 0.768
Cd 0.500 0.500 0.000
La 0.000 0.000 0.900
Ac 0.500 0.500 0.232

***

First-principles (PBE-GGA) data for crystalline AcLa9Cd2 at its relaxed geometry, as listed in Alexandria via LeMat-Bulk.

Summary:
**ΔE_f**: -0.90 eV/f.u.
**V**: 34.41 Å³/atom

abc: 5.162 5.162 15.494
angles: 90.00 90.00 90.00
Element x y z (fractional)
La 0.000 0.500 0.500
La 0.500 0.500 0.663
La 0.000 0.500 0.824
La 0.500 0.000 0.500
La 0.500 0.000 0.824
La 0.500 0.500 0.000
La 0.500 0.500 0.337
Ac 0.000 0.000 0.000
Cd 0.000 0.000 0.341
Cd 0.000 0.000 0.659
La 0.500 0.000 0.176
La 0.000 0.500 0.176

***

First-principles (PBE-GGA) data for crystalline AcLa3Cd at its relaxed geometry, as listed in Alexandria via LeMat-Bulk.

Summary:
**ΔE_f**: -0.81 eV/f.u.
**V**: 35.91 Å³/atom

abc: 3.856 9.330 10.450
angles: 103.39 100.64 89.97
Element x y z (fractional)
La 0.621 0.942 0.498
Ac 0.817 0.074 0.895
La 0.604 0.493 0.463
Ac 0.014 0.151 0.281
La 0.418 0.404 0.095
La 0.227 0.731 0.712
La 0.412 0.821 0.081
Cd 0.811 0.539 0.879
La 0.210 0.283 0.678
Cd 0.019 0.685 0.296